1.
A geometry-optimized Rb2OsS4 structure. Source: Alexandria, functional PBE.

a = 7.1770 Å, b = 7.0250 Å, c = 9.8513 Å
α = 90.00°, β = 106.97°, γ = 90.00°
Space group P2_1/m (No. 11)
One atom of each set of equivalent atoms:
Rb 0.2029 0.2500 0.4298 (multiplicity 2)
Rb 0.2808 0.2500 0.9678 (multiplicity 2)
Os 0.3129 0.7500 0.2212 (multiplicity 2)
S 0.0961 0.7500 0.3380 (multiplicity 2)
S 0.1806 0.7500 0.9914 (multiplicity 2)
S 0.4989 0.0008 0.7221 (multiplicity 4)



2.
A geometry-optimized Rb2OsS4 structure. Source: Alexandria, functional PBE.

a = 4.7788 Å, b = 4.7788 Å, c = 16.6654 Å
α = 90.00°, β = 90.00°, γ = 90.00°
Space group I4/mmm (No. 139)
One atom of each set of equivalent atoms:
Rb 0.0000 0.0000 0.1497 (multiplicity 4)
Os 0.0000 0.0000 0.5000 (multiplicity 2)
S 0.0000 0.0000 0.3579 (multiplicity 4)
S 0.0000 0.5000 0.0000 (multiplicity 4)



The most stable of them is 1.